Density functional theory data (PBE) for crystalline RbTlTe2Pd at its relaxed geometry.

Summary:
D(E_F): 2.916 states/eV/cell
ΔE_f (raw): -374 meV per atom
Symmetry: P4/mmm (123)

a b c (Å): 5.5676 5.5676 5.4087
angles (deg): 90.00 90.00 90.00
Closest atoms and distances in Å follow each position.
Fractional coordinates of all 5 atoms:
Rb  0.0000  0.0000  0.0000  8 Te 3.88, 4 Tl 3.94
Tl  0.5000  0.5000  0.0000  2 Pd 2.70
Te  0.0000  0.5000  0.5000  2 Pd 2.78
Te  0.5000  0.0000  0.5000  2 Pd 2.78
Pd  0.5000  0.5000  0.5000  2 Tl 2.70, 4 Te 2.78